BaSrHg at its PBEsol-relaxed geometry. Source: Alexandria, functional SCAN.

abc: 5.520 5.520 5.520
angles: 60.00 60.00 60.00
Fractional coordinates of all 3 atoms:
Ba1 0.250 0.250 0.250
Hg1 0.000 0.000 0.000
Sr1 0.500 0.500 0.500

E above lowest polymorph in meV/atom: 602
Magnetic moment in μB per formula unit: 0.0
Formation enthalpy at 0 K in eV/atom: 0.103

=====

BaSr2Hg at its PBEsol-relaxed geometry. Source: Alexandria, functional SCAN.

abc: 4.129 6.135 7.573
angles: 113.89 105.82 90.00
Fractional coordinates of all 4 atoms:
Sr1 0.944 0.944 0.888
Sr2 0.749 0.249 0.497
Hg1 0.254 0.754 0.509
Ba1 0.553 0.553 0.106

Magnetic moment in μB per formula unit: 0.0
Formation enthalpy at 0 K in eV/atom: -0.285

=====

BaSrHg at its PBEsol-relaxed geometry. Source: Alexandria, functional SCAN.

abc: 4.047 4.047 7.774
angles: 105.09 105.09 90.00
Fractional coordinates of all 3 atoms:
Sr1 0.704 0.704 0.409
Hg1 0.327 0.327 0.653
Ba1 0.969 0.969 0.938

E above lowest polymorph in meV/atom: 0
Magnetic moment in μB per formula unit: 0.0
Formation enthalpy at 0 K in eV/atom: -0.498